The following is a DFT calculation (PBE) of crystalline Ac4TlCoBi at its relaxed geometry.

Cell: 9.8011 9.8011 7.5033 Å, 90.00 90.00 134.87°
Closest atoms and distances in Å follow each position.
Positions (direct):
Ac1 0.0000 0.5000 0.0000  2 Co 2.66
Ac2 0.0000 0.5000 0.5000  2 Co 2.66
Ac3 0.0755 0.9245 0.7500  1 Co 3.11, 1 Tl 3.39
Ac4 0.4195 0.5805 0.7500  1 Co 3.11, 1 Bi 3.43
Ac5 0.5000 0.0000 0.0000  2 Co 2.66
Ac6 0.5000 0.0000 0.5000  2 Co 2.66
Ac7 0.5805 0.4195 0.2500  1 Co 3.11, 1 Bi 3.43
Ac8 0.9245 0.0755 0.2500  1 Co 3.11, 1 Tl 3.39
Tl1 0.1117 0.8883 0.2500  5 Ac 3.39-3.65
Tl2 0.8883 0.1117 0.7500  5 Ac 3.39-3.65
Co1 0.2475 0.7525 0.7500  4 Ac 2.66
Co2 0.7525 0.2475 0.2500  4 Ac 2.66
Bi1 0.3913 0.6087 0.2500  9 Ac 3.43-3.81
Bi2 0.6087 0.3913 0.7500  9 Ac 3.43-3.81

## Properties
**Total magnetic moment**: 0.0000 μB/atom
**E_tot**: -64.76 eV for the cell shown
**DOS at the Fermi energy**: 11.2 states/eV per cell